No. 1
VASP calculation (PBE-GGA) on an optimized crystal structure of Y2AlNi16.

## Properties
D(E_F): 24.689 states/eV per cell
E_form: -5.17 eV per formula unit
symmetry: No. 160

POSCAR file:
```
Y2AlNi16
1.0
6.231 0.042 0.749
0.669 6.195 0.749
0.046 0.042 6.276
Al Ni Y
1 16 2
Direct
0.910 0.910 0.910
0.000 0.296 0.703
0.153 0.656 0.656
0.998 0.502 0.998
0.102 0.102 0.102
0.344 0.846 0.344
0.703 0.000 0.296
0.000 0.703 0.296
0.296 0.000 0.703
0.502 0.998 0.998
0.703 0.296 0.000
0.656 0.153 0.656
0.998 0.998 0.502
0.344 0.344 0.846
0.296 0.703 0.000
0.846 0.344 0.344
0.656 0.656 0.153
0.654 0.654 0.654
0.341 0.341 0.341
```

No. 2
VASP calculation (PBE-GGA) on an optimized crystal structure of Hg2Sb.

## Properties
D(E_F): 1.752 states/eV per cell
symmetry: No. 139
E_form (uncorrected): 0.195 eV/atom
distance to the lowest polymorph of the same formula: 98 meV per atom

POSCAR file:
```
Hg2Sb
1.0
-4.347 -2.242 2.550
0.929 -4.654 2.811
2.302 5.004 -0.301
Hg Sb
2 1
Direct
0.666 0.666 0.000
0.334 0.334 0.000
0.000 0.000 0.000
```

No. 3
VASP calculation (PBE-GGA) on an optimized crystal structure of PaI3Cl3.

## Properties
D(E_F): 8.779 states/eV per cell
symmetry: No. 160
E_form (uncorrected): -1.082 eV/atom

POSCAR file:
```
PaI3Cl3
1.0
7.108 -0.601 -2.015
-2.502 6.680 -2.015
-0.456 -0.601 7.374
I Cl Pa
3 3 1
Direct
0.020 0.020 0.335
0.020 0.335 0.020
0.335 0.020 0.020
0.561 0.561 0.853
0.561 0.853 0.561
0.853 0.561 0.561
0.850 0.850 0.850
```

No. 4
VASP calculation (PBE-GGA) on an optimized crystal structure of Nd2SiTe.

## Properties
D(E_F): 1.237 states/eV per cell
symmetry: No. 160
E_form (uncorrected): -1.047 eV/atom
distance to the lowest polymorph of the same formula: 64 meV per atom

POSCAR file:
```
Nd2SiTe
1.0
-2.862 -0.970 -3.103
-3.935 -1.466 1.064
-4.856 6.267 -0.503
Nd Te Si
2 1 1
Direct
0.261 0.261 0.217
0.072 0.072 0.783
0.499 0.499 0.503
0.668 0.668 0.997
```

No. 5
VASP calculation (PBE-GGA) on an optimized crystal structure of Mg5U3Au12.

## Properties
D(E_F): 111.194 states/eV per cell
E_form: 0.09 eV per formula unit
symmetry: No. 230

POSCAR file:
```
Mg5U3Au12
1.0
-4.744 -4.816 12.270
-9.658 -2.163 -9.915
11.793 -6.744 -3.419
Mg Au U
20 48 12
Direct
0.250 0.375 0.625
0.375 0.125 0.750
0.500 0.000 0.500
0.000 0.000 0.500
0.500 0.000 0.000
0.625 0.875 0.250
0.875 0.250 0.625
0.500 0.500 0.000
0.125 0.375 0.250
0.750 0.625 0.375
0.000 0.500 0.500
0.000 0.500 0.000
0.250 0.875 0.125
0.875 0.625 0.750
0.500 0.500 0.500
0.125 0.750 0.375
0.625 0.750 0.875
0.375 0.250 0.125
0.000 0.000 0.000
0.750 0.125 0.875
0.663 0.442 0.581
0.837 0.918 0.279
0.419 0.058 0.337
0.442 0.779 0.861
0.721 0.582 0.163
0.721 0.139 0.058
0.163 0.082 0.721
0.419 0.361 0.582
0.279 0.418 0.837
0.639 0.058 0.221
0.418 0.139 0.581
0.582 0.861 0.419
0.058 0.419 0.837
0.139 0.418 0.081
0.279 0.861 0.942
0.837 0.919 0.058
0.942 0.361 0.279
0.082 0.163 0.221
0.918 0.081 0.639
0.081 0.918 0.139
0.361 0.942 0.779
0.861 0.582 0.919
0.918 0.837 0.779
0.558 0.337 0.919
0.163 0.081 0.942
0.779 0.337 0.918
0.058 0.639 0.721
0.361 0.419 0.082
0.558 0.221 0.139
0.779 0.442 0.361
0.418 0.279 0.337
0.337 0.779 0.418
0.919 0.082 0.861
0.139 0.721 0.558
0.942 0.581 0.163
0.442 0.663 0.081
0.081 0.163 0.442
0.082 0.919 0.361
0.337 0.558 0.419
0.582 0.721 0.663
0.639 0.581 0.918
0.581 0.942 0.663
0.861 0.279 0.442
0.221 0.663 0.082
0.663 0.221 0.582
0.919 0.837 0.558
0.221 0.558 0.639
0.581 0.639 0.418
0.375 0.750 0.625
0.125 0.875 0.750
0.125 0.250 0.875
0.625 0.375 0.750
0.250 0.625 0.875
0.625 0.250 0.375
0.875 0.125 0.250
0.750 0.375 0.125
0.375 0.625 0.250
0.250 0.125 0.375
0.750 0.875 0.625
0.875 0.750 0.125
```

No. 6
VASP calculation (PBE-GGA) on an optimized crystal structure of KCu2AsF8.

## Properties
D(E_F): 11.955 states/eV per cell
symmetry: No. 166
E_form (uncorrected): -1.787 eV/atom

POSCAR file:
```
KCu2AsF8
1.0
5.399 0.000 0.000
2.700 4.676 0.000
2.700 1.559 8.362
F As Cu K
8 1 2 1
Direct
0.383 0.868 0.367
0.617 0.132 0.633
0.868 0.383 0.367
0.666 0.666 0.001
0.334 0.334 0.999
0.132 0.617 0.633
0.383 0.383 0.367
0.617 0.617 0.633
0.500 0.500 0.500
0.739 0.739 0.782
0.261 0.261 0.218
0.000 0.000 0.000
```

Across the entries above, magnetization takes the values 4.47, 0.00, 1.10, 0.00, 8.70, 0.29 μB/f.u., respectively.